A plane-wave DFT calculation with PBE was carried out for crystalline InBiIN2 at its relaxed geometry. Values from VASP.

Computed properties:
ΔE_f (raw)   1.4740 eV per atom
E   -3.490 eV per atom
Total magnetic moment   0.37 μB per atom

```
&SYSTEM
  ibrav = 0, nat = 5, ntyp = 4
/
ATOMIC_SPECIES
In 114.82 In.upf
Bi 208.98 Bi.upf
I 126.90 I.upf
N 14.01 N.upf
CELL_PARAMETERS angstrom
4.5643 0.0000 0.0000
0.0000 4.5643 0.0000
0.0000 0.0000 6.0540
ATOMIC_POSITIONS angstrom
In 0.0000 0.0000 0.0000
Bi 2.2822 2.2822 3.0270
I 0.0000 0.0000 3.0270
N 0.0000 2.2822 0.0000
N 2.2822 0.0000 0.0000
```